Entry 1:
The following is a GGA-PBE calculation of K2CdInBi2 after structural relaxation, from Alexandria via LeMat-Bulk.

a = 7.3497 Å, b = 16.3979 Å, c = 7.3928 Å
α = 90.00°, β = 90.00°, γ = 90.00°
Last column: nearest neighbours and their distance in Å.
Space group Ibam (No. 72)
Symmetry-distinct sites (fractional):
1 K 0.2483 0.1647 0.0000 x8  2 In 3.75, 2 Cd 3.76, 5 Bi 3.76-3.84
2 Cd 0.0000 0.5000 0.2500 x4  4 Bi 3.10
3 In 0.0000 0.0000 0.2500 x4  4 Bi 3.16
4 Bi 0.2430 0.3945 0.0000 x8  2 Cd 3.10, 2 In 3.16

***

Entry 2:
The following is a GGA-PBE calculation of PaGaTcAu after structural relaxation, from Alexandria via LeMat-Bulk.

a = 6.7502 Å, b = 6.7502 Å, c = 6.7502 Å
α = 90.00°, β = 90.00°, γ = 90.00°
Last column: nearest neighbours and their distance in Å.
Space group F-43m (No. 216)
Symmetry-distinct sites (fractional):
1 Pa 0.0000 0.0000 0.0000 x4  4 Au 2.92, 4 Tc 2.92
2 Ga 0.0000 0.0000 0.5000 x4  4 Tc 2.92, 4 Au 2.92
3 Tc 0.2500 0.2500 0.2500 x4  4 Pa 2.92, 4 Ga 2.92
4 Au 0.2500 0.2500 0.7500 x4  4 Pa 2.92, 4 Ga 2.92

***

Number 1: ΔH_f (0 K) -1.851 eV per formula unit, uncorrected energy -61.85 eV/cell. Number 2: ΔH_f (0 K) -0.299 eV per formula unit, uncorrected energy -105.86 eV/cell.